1.
# GGA-PBE BaPa2AuSe8, relaxed
# spin magnetization: 0.350 μB per formula unit
# total energy: -5.224 eV/atom
# space-group type: P-3m1 (164)
data_BaPa2AuSe8
_cell_length_a 6.583
_cell_length_b 6.583
_cell_length_c 8.586
_cell_angle_alpha 90.00
_cell_angle_beta 90.00
_cell_angle_gamma 120.00
_symmetry_space_group_name_H-M 'P 1'
_symmetry_Int_Tables_number 1
loop_
_symmetry_equiv_pos_as_xyz
'x,y,z'
loop_
_atom_site_label
_atom_site_fract_x
_atom_site_fract_y
_atom_site_fract_z
Se1 0.333 0.667 0.589
Se2 0.819 0.181 0.825
Se3 0.181 0.819 0.175
Se4 0.362 0.181 0.825
Se5 0.667 0.333 0.411
Se6 0.638 0.819 0.175
Se7 0.181 0.362 0.175
Se8 0.819 0.638 0.825
Pa1 0.667 0.333 0.106
Pa2 0.333 0.667 0.894
Ba1 0.000 0.000 0.500
Au1 0.000 0.000 0.000

2.
# GGA-PBE Ba2PaAuSe5, relaxed
# spin magnetization: 0.081 μB per formula unit
# total energy: -5.246 eV/atom
# space-group type: Cmc2_1 (36)
data_Ba2PaAuSe5
_cell_length_a 4.337
_cell_length_b 9.724
_cell_length_c 13.270
_cell_angle_alpha 90.00
_cell_angle_beta 90.00
_cell_angle_gamma 102.89
_symmetry_space_group_name_H-M 'P 1'
_symmetry_Int_Tables_number 1
loop_
_symmetry_equiv_pos_as_xyz
'x,y,z'
loop_
_atom_site_label
_atom_site_fract_x
_atom_site_fract_y
_atom_site_fract_z
Se1 0.706 0.412 0.158
Se2 0.294 0.589 0.374
Se3 0.706 0.411 0.874
Se4 0.500 0.999 0.765
Se5 0.655 0.311 0.512
Se6 0.294 0.588 0.658
Se7 0.345 0.689 0.012
Se8 0.057 0.114 0.047
Se9 0.500 0.001 0.265
Se10 0.943 0.886 0.547
Ba1 0.885 0.769 0.825
Ba2 0.115 0.231 0.325
Ba3 0.113 0.227 0.694
Ba4 0.887 0.773 0.194
Pa1 0.801 0.603 0.517
Pa2 0.199 0.397 0.017
Au1 0.432 0.864 0.433
Au2 0.568 0.136 0.933

3.
# GGA-PBE Ba2PaTe6Au2, relaxed
# spin magnetization: 0.000 μB per formula unit
# total energy: -4.343 eV/atom
# space-group type: C2/m (12)
data_Ba2PaTe6Au2
_cell_length_a 7.456
_cell_length_b 8.591
_cell_length_c 8.743
_cell_angle_alpha 121.77
_cell_angle_beta 90.00
_cell_angle_gamma 115.72
_symmetry_space_group_name_H-M 'P 1'
_symmetry_Int_Tables_number 1
loop_
_symmetry_equiv_pos_as_xyz
'x,y,z'
loop_
_atom_site_label
_atom_site_fract_x
_atom_site_fract_y
_atom_site_fract_z
Te1 0.681 0.851 0.179
Te2 0.723 0.446 0.617
Te3 0.170 0.851 0.179
Te4 0.319 0.149 0.821
Te5 0.277 0.554 0.383
Te6 0.830 0.149 0.821
Pa1 0.500 0.000 0.500
Ba1 0.252 0.503 0.757
Ba2 0.748 0.497 0.243
Au1 0.069 0.139 0.222
Au2 0.931 0.861 0.778

4.
# GGA-PBE Ba2PbAu, relaxed
# spin magnetization: 0.000 μB per formula unit
# calculated formation energy: -587 meV/atom
# space-group type: P4/mmm (123)
data_Ba2PbAu
_cell_length_a 6.059
_cell_length_b 6.059
_cell_length_c 4.044
_cell_angle_alpha 89.98
_cell_angle_beta 89.98
_cell_angle_gamma 90.02
_symmetry_space_group_name_H-M 'P 1'
_symmetry_Int_Tables_number 1
loop_
_symmetry_equiv_pos_as_xyz
'x,y,z'
loop_
_atom_site_label
_atom_site_fract_x
_atom_site_fract_y
_atom_site_fract_z
Pb1 0.500 0.000 0.500
Ba1 0.500 0.500 0.000
Ba2 0.000 0.000 0.000
Au1 0.000 0.500 0.500

5.
# GGA-PBE BaPb4Au2, relaxed
# spin magnetization: 0.000 μB per formula unit
# calculated formation energy: -310 meV/atom
# space-group type: Pnma (62)
# E above lowest polymorph: 0 meV per atom
data_BaPb4Au2
_cell_length_a 4.838
_cell_length_b 8.205
_cell_length_c 20.673
_cell_angle_alpha 90.00
_cell_angle_beta 90.00
_cell_angle_gamma 90.00
_symmetry_space_group_name_H-M 'P 1'
_symmetry_Int_Tables_number 1
loop_
_symmetry_equiv_pos_as_xyz
'x,y,z'
loop_
_atom_site_label
_atom_site_fract_x
_atom_site_fract_y
_atom_site_fract_z
Au1 0.750 0.014 0.221
Au2 0.750 0.486 0.721
Au3 0.250 0.741 0.044
Au4 0.750 0.259 0.956
Au5 0.250 0.514 0.279
Au6 0.750 0.241 0.456
Au7 0.250 0.986 0.779
Au8 0.250 0.759 0.544
Ba1 0.250 0.017 0.355
Ba2 0.250 0.483 0.855
Ba3 0.750 0.517 0.145
Ba4 0.750 0.983 0.645
Pb1 0.250 0.213 0.186
Pb2 0.750 0.185 0.814
Pb3 0.750 0.644 0.971
Pb4 0.750 0.995 0.067
Pb5 0.750 0.787 0.814
Pb6 0.250 0.685 0.686
Pb7 0.750 0.713 0.314
Pb8 0.250 0.815 0.186
Pb9 0.750 0.856 0.471
Pb10 0.250 0.005 0.933
Pb11 0.750 0.315 0.314
Pb12 0.250 0.287 0.686
Pb13 0.250 0.356 0.029
Pb14 0.250 0.495 0.433
Pb15 0.250 0.144 0.529
Pb16 0.750 0.505 0.567

6.
# GGA-PBE BaPb2Au, relaxed
# spin magnetization: 0.000 μB per formula unit
# calculated formation energy: -333 meV/atom
# space-group type: Pmm2 (25)
data_BaPb2Au
_cell_length_a 3.934
_cell_length_b 3.944
_cell_length_c 8.102
_cell_angle_alpha 90.00
_cell_angle_beta 90.00
_cell_angle_gamma 90.00
_symmetry_space_group_name_H-M 'P 1'
_symmetry_Int_Tables_number 1
loop_
_symmetry_equiv_pos_as_xyz
'x,y,z'
loop_
_atom_site_label
_atom_site_fract_x
_atom_site_fract_y
_atom_site_fract_z
Ba1 0.500 0.500 0.718
Pb1 0.500 0.500 0.270
Pb2 0.000 0.000 0.039
Au1 0.000 0.000 0.473

7.
# GGA-PBE BaPbAu10, relaxed
# spin magnetization: 0.000 μB per formula unit
# calculated formation energy: -232 meV/atom
# space-group type: Pmmm (47)
data_BaPbAu10
_cell_length_a 4.626
_cell_length_b 5.783
_cell_length_c 9.994
_cell_angle_alpha 90.00
_cell_angle_beta 90.00
_cell_angle_gamma 90.00
_symmetry_space_group_name_H-M 'P 1'
_symmetry_Int_Tables_number 1
loop_
_symmetry_equiv_pos_as_xyz
'x,y,z'
loop_
_atom_site_label
_atom_site_fract_x
_atom_site_fract_y
_atom_site_fract_z
Au1 0.500 0.000 0.500
Au2 0.500 0.749 0.750
Au3 0.500 0.749 0.250
Au4 0.000 0.500 0.159
Au5 0.000 0.500 0.841
Au6 0.500 0.500 0.000
Au7 0.000 0.000 0.323
Au8 0.000 0.000 0.677
Au9 0.500 0.251 0.250
Au10 0.500 0.251 0.750
Ba1 0.000 0.500 0.500
Pb1 0.000 0.000 0.000

8.
# GGA-PBE BaPb6Au2, relaxed
# spin magnetization: 0.000 μB per formula unit
# calculated formation energy: -75 meV/atom
# space-group type: C2/m (12)
# E above lowest polymorph: 156 meV per atom
data_BaPb6Au2
_cell_length_a 3.695
_cell_length_b 8.933
_cell_length_c 8.933
_cell_angle_alpha 82.87
_cell_angle_beta 79.62
_cell_angle_gamma 79.62
_symmetry_space_group_name_H-M 'P 1'
_symmetry_Int_Tables_number 1
loop_
_symmetry_equiv_pos_as_xyz
'x,y,z'
loop_
_atom_site_label
_atom_site_fract_x
_atom_site_fract_y
_atom_site_fract_z
Au1 0.107 0.393 0.393
Au2 0.893 0.607 0.607
Pb1 0.500 0.672 0.328
Pb2 0.286 0.070 0.361
Pb3 0.714 0.639 0.930
Pb4 0.714 0.930 0.639
Pb5 0.500 0.328 0.672
Pb6 0.286 0.361 0.070
Ba1 0.000 0.000 0.000

9.
# GGA-PBE BaPb3Au3, relaxed
# spin magnetization: 0.000 μB per formula unit
# calculated formation energy: -328 meV/atom
# space-group type: P2_1/m (11)
# E above lowest polymorph: 0 meV per atom
data_BaPb3Au3
_cell_length_a 4.954
_cell_length_b 9.619
_cell_length_c 9.639
_cell_angle_alpha 119.93
_cell_angle_beta 90.00
_cell_angle_gamma 90.00
_symmetry_space_group_name_H-M 'P 1'
_symmetry_Int_Tables_number 1
loop_
_symmetry_equiv_pos_as_xyz
'x,y,z'
loop_
_atom_site_label
_atom_site_fract_x
_atom_site_fract_y
_atom_site_fract_z
Ba1 0.750 0.334 0.667
Ba2 0.250 0.666 0.333
Au1 0.250 0.402 0.460
Au2 0.750 0.460 0.058
Au3 0.750 0.942 0.401
Au4 0.250 0.540 0.942
Au5 0.750 0.598 0.540
Au6 0.250 0.058 0.599
Pb1 0.250 0.230 0.961
Pb2 0.750 0.270 0.231
Pb3 0.750 0.961 0.729
Pb4 0.250 0.039 0.271
Pb5 0.750 0.770 0.039
Pb6 0.250 0.730 0.769

10.
# GGA-PBE BaPbAu2, relaxed
# spin magnetization: 0.000 μB per formula unit
# calculated formation energy: -289 meV/atom
# space-group type: I-4m2 (119)
data_BaPbAu2
_cell_length_a 6.423
_cell_length_b 6.423
_cell_length_c 6.423
_cell_angle_alpha 138.35
_cell_angle_beta 138.35
_cell_angle_gamma 60.37
_symmetry_space_group_name_H-M 'P 1'
_symmetry_Int_Tables_number 1
loop_
_symmetry_equiv_pos_as_xyz
'x,y,z'
loop_
_atom_site_label
_atom_site_fract_x
_atom_site_fract_y
_atom_site_fract_z
Au1 0.000 0.000 0.000
Au2 0.250 0.750 0.500
Pb1 0.750 0.250 0.500
Ba1 0.500 0.500 0.000

What did the fourth record say?
# GGA-PBE Ba2PbAu, relaxed
# spin magnetization: 0.000 μB per formula unit
# calculated formation energy: -587 meV/atom
# space-group type: P4/mmm (123)
data_Ba2PbAu
_cell_length_a 6.059
_cell_length_b 6.059
_cell_length_c 4.044
_cell_angle_alpha 89.98
_cell_angle_beta 89.98
_cell_angle_gamma 90.02
_symmetry_space_group_name_H-M 'P 1'
_symmetry_Int_Tables_number 1
loop_
_symmetry_equiv_pos_as_xyz
'x,y,z'
loop_
_atom_site_label
_atom_site_fract_x
_atom_site_fract_y
_atom_site_fract_z
Pb1 0.500 0.000 0.500
Ba1 0.500 0.500 0.000
Ba2 0.000 0.000 0.000
Au1 0.000 0.500 0.500

Please write out number 9 again, unchanged.
# GGA-PBE BaPb3Au3, relaxed
# spin magnetization: 0.000 μB per formula unit
# calculated formation energy: -328 meV/atom
# space-group type: P2_1/m (11)
# E above lowest polymorph: 0 meV per atom
data_BaPb3Au3
_cell_length_a 4.954
_cell_length_b 9.619
_cell_length_c 9.639
_cell_angle_alpha 119.93
_cell_angle_beta 90.00
_cell_angle_gamma 90.00
_symmetry_space_group_name_H-M 'P 1'
_symmetry_Int_Tables_number 1
loop_
_symmetry_equiv_pos_as_xyz
'x,y,z'
loop_
_atom_site_label
_atom_site_fract_x
_atom_site_fract_y
_atom_site_fract_z
Ba1 0.750 0.334 0.667
Ba2 0.250 0.666 0.333
Au1 0.250 0.402 0.460
Au2 0.750 0.460 0.058
Au3 0.750 0.942 0.401
Au4 0.250 0.540 0.942
Au5 0.750 0.598 0.540
Au6 0.250 0.058 0.599
Pb1 0.250 0.230 0.961
Pb2 0.750 0.270 0.231
Pb3 0.750 0.961 0.729
Pb4 0.250 0.039 0.271
Pb5 0.750 0.770 0.039
Pb6 0.250 0.730 0.769

What is the spin magnetization in the tenth record? 0.000 μB per formula unit

What is the formula in the second record? Ba2PaAuSe5